[1]
Computed, not measured: a crystal of ZnPRh relaxed with PBEsol at the SCAN level of DFT.

Computed properties:
The magnetization is 0.0 μB/cell. For the volume, the calculation gives 15.09 Å³/atom. The space group is F-43m, No. 216. The calculation puts the formation enthalpy at 0 K at 206 meV per atom. Its total energy is -19.02 eV/atom.

Cell: 4.000 4.000 4.000 Å, 60.00 60.00 60.00°
Positions (direct):
Zn 0.250 0.250 0.250
Rh 0.500 0.500 0.500
P 0.000 0.000 0.000



[2]
Computed, not measured: a crystal of Zn3PRh relaxed with PBEsol at the SCAN level of DFT.

Computed properties:
The magnetization is 0.0 μB/cell. For the volume, the calculation gives 17.15 Å³/atom. The space group is Pm-3m, No. 221. The calculation puts the formation enthalpy at 0 K at 734 meV per atom. Its total energy is -16.21 eV/atom.

Cell: 4.410 4.410 4.410 Å, 90.00 90.00 90.00°
Positions (direct):
Zn 0.500 0.000 0.000
Zn 0.000 0.000 0.500
Zn 0.000 0.500 0.000
P 0.000 0.000 0.000
Rh 0.500 0.500 0.500



[3]
Computed, not measured: a crystal of ZnPRh2 relaxed with PBEsol at the SCAN level of DFT.

Computed properties:
The magnetization is 0.0 μB/cell. For the volume, the calculation gives 13.43 Å³/atom. The energy above the lowest structure with this stoichiometry comes out at 195 meV per atom. The space group is F-43m, No. 216. The calculation puts the formation enthalpy at 0 K at 70 meV per atom. Its total energy is -22.79 eV/atom.

Cell: 4.235 4.235 4.235 Å, 60.00 60.00 60.00°
Positions (direct):
P 0.500 0.500 0.500
Zn 0.250 0.250 0.250
Rh 0.750 0.750 0.750
Rh 0.000 0.000 0.000